# 1
Entry from Alexandria via LeMat-Bulk: an optimized crystal structure of HoAl3Au3 (PBE). Values from VASP.

```
&SYSTEM
  ibrav = 0, nat = 14, ntyp = 3
/
ATOMIC_SPECIES
Al 26.98 Al.upf
Au 196.97 Au.upf
Ho 164.93 Ho.upf
ATOMIC_POSITIONS angstrom
Al 3.460 0.000 1.730
Au 0.000 3.460 5.190
Al 1.730 3.460 0.000
Au 5.190 0.000 3.460
Al 0.000 5.190 3.460
Au 3.460 5.190 0.000
Al 3.460 0.000 5.190
Au 1.730 0.000 3.460
Ho 3.460 3.460 3.460
Ho 0.000 0.000 0.000
Au 0.000 3.460 1.730
Au 3.460 1.730 0.000
Al 0.000 1.730 3.460
Al 5.190 3.460 0.000
CELL_PARAMETERS angstrom
6.920 0.000 0.000
0.000 6.920 0.000
0.000 0.000 6.920
```

Results
Space group: No. 223
Polymorph energy (0 for the lowest one): 447.2 meV per atom


# 2
Entry from Alexandria via LeMat-Bulk: an optimized crystal structure of TlGaSn2Bi (PBE). Values from VASP.

```
&SYSTEM
  ibrav = 0, nat = 5, ntyp = 4
/
ATOMIC_SPECIES
Sn 118.71 Sn.upf
Ga 69.72 Ga.upf
Bi 208.98 Bi.upf
Tl 204.38 Tl.upf
ATOMIC_POSITIONS angstrom
Sn -1.415 -2.297 0.890
Ga 2.315 -1.296 0.336
Sn 0.143 0.948 2.674
Bi 1.043 -2.644 3.900
Tl 0.000 0.000 0.000
CELL_PARAMETERS angstrom
-2.830 -4.593 1.780
4.630 -2.592 0.672
0.285 1.897 5.348
```

Results
Space group: No. 123


# 3
Entry from Alexandria via LeMat-Bulk: an optimized crystal structure of Hf5ScOs4 (PBE). Values from VASP.

```
&SYSTEM
  ibrav = 0, nat = 10, ntyp = 3
/
ATOMIC_SPECIES
Hf 178.49 Hf.upf
Os 190.23 Os.upf
Sc 44.96 Sc.upf
ATOMIC_POSITIONS angstrom
Hf 1.627 1.627 2.125
Os 0.000 0.000 3.731
Os 0.000 0.000 13.534
Sc 0.000 0.000 0.000
Hf 1.627 1.627 11.892
Hf 1.627 1.627 15.140
Hf 1.627 1.627 5.373
Os 0.000 0.000 10.264
Hf 1.627 1.627 8.632
Os 0.000 0.000 7.001
CELL_PARAMETERS angstrom
3.255 0.000 0.000
0.000 3.255 0.000
0.000 0.000 17.265
```

Results
Space group: No. 123


no.,formation energy from the elements (eV/f.u.)
1,-1.02
2,2.90
3,-5.15